Below is a relaxed CaTe2P crystal, with properties calculated at the GGA-PBE level.

```
CaTe2P
1.0
-4.882 -3.652 0.896
-2.551 -5.032 -2.478
2.341 -2.479 2.632
Te Ca P
2 1 1
Cartesian
-0.960 -3.075 0.595
-5.119 -10.546 0.779
-3.146 -5.633 0.132
-3.502 -8.653 1.122
```

Output
space-group type = No. 38
E_form (uncorrected) = -57.13 kJ/mol of atoms